Record 1
A plane-wave DFT calculation with PBE-GGA was carried out for crystalline Pm8InBi5 at its relaxed geometry. Values from VASP.

Output
Spin magnetization in μB per formula unit: 0.0
Formation enthalpy at 0 K in eV per atom: -0.756
N(E_F) in states/eV/cell: 15.4

Geometry as Quantum ESPRESSO input:
```
&SYSTEM
  ibrav = 0, nat = 14, ntyp = 3
/
ATOMIC_SPECIES
Pm 145.00 Pm.upf
In 114.82 In.upf
Bi 208.98 Bi.upf
CELL_PARAMETERS angstrom
-4.805 4.805 4.823
4.805 -4.805 4.823
4.805 4.805 -4.823
ATOMIC_POSITIONS angstrom
Pm 4.126 3.068 -2.930
Pm 4.119 1.698 0.490
Pm 0.680 1.737 1.893
Pm 3.108 -0.686 4.333
Pm 1.698 5.491 -0.490
Pm 1.737 -0.680 7.754
Pm 0.686 3.108 5.313
Pm 3.068 5.485 2.930
In 0.000 4.805 2.412
Bi 2.403 -1.193 1.222
Bi 5.999 -2.402 3.601
Bi 7.207 1.193 1.222
Bi 0.000 0.000 4.823
Bi 3.612 2.402 3.601
```

Record 2
A plane-wave DFT calculation with PBE-GGA was carried out for crystalline Pm4InBi5 at its relaxed geometry. Values from VASP.

Output
Spin magnetization in μB per formula unit: 0.0
Formation enthalpy at 0 K in eV per atom: -0.687
N(E_F) in states/eV/cell: 3.0

Geometry as Quantum ESPRESSO input:
```
&SYSTEM
  ibrav = 0, nat = 10, ntyp = 3
/
ATOMIC_SPECIES
Pm 145.00 Pm.upf
In 114.82 In.upf
Bi 208.98 Bi.upf
CELL_PARAMETERS angstrom
-2.271 2.271 16.534
2.271 -2.271 16.534
2.271 2.271 -16.534
ATOMIC_POSITIONS angstrom
Pm 0.000 0.000 3.381
Pm 0.000 0.000 9.889
Pm 0.000 0.000 23.179
Pm 0.000 0.000 29.686
In 0.000 0.000 16.534
Bi 0.000 0.000 0.000
Bi 0.000 0.000 6.645
Bi 0.000 0.000 13.152
Bi 0.000 0.000 19.915
Bi 0.000 0.000 26.422
```

Record 3
A plane-wave DFT calculation with PBE-GGA was carried out for crystalline Pm6In3Bi at its relaxed geometry. Values from VASP.

Output
Spin magnetization in μB per formula unit: 0.0
Formation enthalpy at 0 K in eV per atom: -0.345
N(E_F) in states/eV/cell: 16.7

Geometry as Quantum ESPRESSO input:
```
&SYSTEM
  ibrav = 0, nat = 20, ntyp = 3
/
ATOMIC_SPECIES
Pm 145.00 Pm.upf
In 114.82 In.upf
Bi 208.98 Bi.upf
CELL_PARAMETERS angstrom
5.033 -8.992 0.000
5.033 8.992 0.000
0.000 0.000 6.927
ATOMIC_POSITIONS angstrom
Pm 5.033 8.707 3.464
Pm 3.168 4.096 6.732
Pm 3.137 1.045 4.984
Pm 5.033 3.747 3.453
Pm 3.137 -1.045 1.521
Pm 6.898 4.096 6.732
Pm 3.168 -4.096 3.268
Pm 6.929 1.045 4.984
Pm 5.033 -3.747 6.917
Pm 6.929 -1.045 1.521
Pm 6.898 -4.096 3.268
Pm 5.033 -8.707 0.000
In 2.086 1.964 1.896
In 2.086 -1.964 5.359
In 5.033 1.569 0.907
In 5.033 -1.569 4.371
In 7.980 1.964 1.896
In 7.980 -1.964 5.359
Bi 5.033 6.271 1.403
Bi 5.033 -6.271 4.866
```

Record 4
A plane-wave DFT calculation with PBE-GGA was carried out for crystalline Pm6InBi at its relaxed geometry. Values from VASP.

Output
Spin magnetization in μB per formula unit: 0.0
Formation enthalpy at 0 K in eV per atom: -0.357
N(E_F) in states/eV/cell: 8.0

Geometry as Quantum ESPRESSO input:
```
&SYSTEM
  ibrav = 0, nat = 8, ntyp = 3
/
ATOMIC_SPECIES
Pm 145.00 Pm.upf
In 114.82 In.upf
Bi 208.98 Bi.upf
CELL_PARAMETERS angstrom
4.970 0.000 0.000
0.000 4.970 0.000
0.000 0.000 9.887
ATOMIC_POSITIONS angstrom
Pm 0.000 0.000 0.000
Pm 0.000 0.000 4.944
Pm 0.000 2.485 2.464
Pm 0.000 2.485 7.424
Pm 2.485 0.000 2.464
Pm 2.485 0.000 7.424
In 2.485 2.485 0.000
Bi 2.485 2.485 4.944
```

Record 5
A plane-wave DFT calculation with PBE-GGA was carried out for crystalline PmIn3Bi3 at its relaxed geometry. Values from VASP.

Output
Spin magnetization in μB per formula unit: 0.0
Formation enthalpy at 0 K in eV per atom: -0.170
N(E_F) in states/eV/cell: 7.3

Geometry as Quantum ESPRESSO input:
```
&SYSTEM
  ibrav = 0, nat = 14, ntyp = 3
/
ATOMIC_SPECIES
Pm 145.00 Pm.upf
In 114.82 In.upf
Bi 208.98 Bi.upf
CELL_PARAMETERS angstrom
4.826 -4.928 0.000
4.826 4.928 0.000
0.000 0.000 9.446
ATOMIC_POSITIONS angstrom
Pm 4.826 2.576 0.000
Pm 4.826 -2.576 0.000
In 2.299 0.000 4.723
In 2.712 0.000 0.000
In 4.826 2.002 4.723
In 4.826 -2.002 4.723
In 6.941 0.000 0.000
In 7.354 0.000 4.723
Bi 0.000 0.000 2.342
Bi 0.000 0.000 7.104
Bi 2.413 2.464 2.331
Bi 2.413 2.464 7.115
Bi 2.413 -2.464 2.331
Bi 2.413 -2.464 7.115
```

Record 6
A plane-wave DFT calculation with PBE-GGA was carried out for crystalline Pm6In5Bi at its relaxed geometry. Values from VASP.

Output
Spin magnetization in μB per formula unit: 0.0
Formation enthalpy at 0 K in eV per atom: -0.518
N(E_F) in states/eV/cell: 9.0

Geometry as Quantum ESPRESSO input:
```
&SYSTEM
  ibrav = 0, nat = 12, ntyp = 3
/
ATOMIC_SPECIES
Pm 145.00 Pm.upf
In 114.82 In.upf
Bi 208.98 Bi.upf
CELL_PARAMETERS angstrom
-2.549 4.436 7.616
2.549 -4.436 7.616
2.549 4.436 -7.616
ATOMIC_POSITIONS angstrom
Pm 2.549 2.220 -2.535
Pm 0.000 2.199 0.000
Pm 2.549 2.220 2.535
Pm 0.000 2.215 5.081
Pm 0.000 6.673 0.000
Pm 0.000 2.215 10.152
In 2.549 0.000 0.000
In 0.000 0.000 2.537
In 2.549 0.000 4.956
In 0.000 4.436 2.661
In 0.000 0.000 12.696
Bi 0.000 0.000 7.616
```